Record 1
4
Lattice="-2.7863 0.8861 -0.6900 -1.0888 -2.5837 1.0788 -0.6487 2.9476 6.4048" Properties=species:S:1:pos:R:3 comment="TcMo2Br, optimized geometry, DFT GGA-PBE" e_tot_ev_per_cell=-32.1 e_above_lowest_polymorph_mev_per_atom=0 formation_energy_uncorrected_ev_per_atom=0.4080 sg="P4/mmm (123)" magmom_total_mub_per_fu=0.00 pbc="T T T"
Mo -0.0075 0.0342 0.0743
Mo -0.3168 1.4396 3.1281
Tc -2.0997 -0.1119 1.7956
Br -2.4241 1.3619 4.9980



Record 2
4
Lattice="4.4965 0.0000 0.0000 2.2483 3.8941 0.0000 2.2483 1.2980 3.6714" Properties=species:S:1:pos:R:3 comment="TcMo2Br, optimized geometry, DFT GGA-PBE" e_tot_ev_per_cell=-29.7 e_above_lowest_polymorph_mev_per_atom=583 formation_energy_uncorrected_ev_per_atom=0.9912 sg="F-43m (216)" magmom_total_mub_per_fu=0.00 pbc="T T T"
Mo 0.0000 0.0000 0.0000
Mo 2.2483 1.2980 0.9179
Tc 6.7448 3.8941 2.7536
Br 4.4965 2.5961 1.8357



Record 3
4
Lattice="-8.0009 3.6951 -0.2681 -8.1017 2.3430 2.5717 -6.7807 5.1781 2.2248" Properties=species:S:1:pos:R:3 comment="TcMoBr2, optimized geometry, DFT GGA-PBE" e_tot_ev_per_cell=-21.4 e_above_lowest_polymorph_mev_per_atom=825 formation_energy_uncorrected_ev_per_atom=0.7865 sg="R-3m (166)" magmom_total_mub_per_fu=0.00 pbc="T T T"
Mo -11.4416 5.6081 2.2642
Tc 0.0000 0.0000 0.0000
Br -20.7438 10.1675 4.1050
Br -2.1394 1.0486 0.4234



Record 4
3
Lattice="4.2980 0.0000 0.0000 2.1490 3.7222 0.0000 2.1490 1.2407 3.5093" Properties=species:S:1:pos:R:3 comment="TcMoBr, optimized geometry, DFT GGA-PBE" e_tot_ev_per_cell=-19.9 e_above_lowest_polymorph_mev_per_atom=622 formation_energy_uncorrected_ev_per_atom=0.9744 sg="F-43m (216)" magmom_total_mub_per_fu=0.33 pbc="T T T"
Mo 6.4471 3.7222 2.6320
Tc 0.0000 0.0000 0.0000
Br 4.2980 2.4815 1.7547



Record 5
4
Lattice="3.0088 0.0000 0.0000 0.0000 3.0088 0.0000 0.0000 0.0000 6.9491" Properties=species:S:1:pos:R:3 comment="Tc2MoBr, optimized geometry, DFT GGA-PBE" e_tot_ev_per_cell=-31.3 e_above_lowest_polymorph_mev_per_atom=15 formation_energy_uncorrected_ev_per_atom=0.4858 sg="P4mm (99)" magmom_total_mub_per_fu=0.00 pbc="T T T"
Mo 1.5044 1.5044 5.2551
Tc 0.0000 0.0000 0.0365
Tc 1.5044 1.5044 1.6344
Br 0.0000 0.0000 3.4976



Record 6
4
Lattice="5.3708 -0.0022 -0.0011 2.6034 4.6977 0.0011 -3.4368 -3.2822 2.5021" Properties=species:S:1:pos:R:3 comment="TcMo2Br, optimized geometry, DFT GGA-PBE" e_tot_ev_per_cell=-31.0 e_above_lowest_polymorph_mev_per_atom=268 formation_energy_uncorrected_ev_per_atom=0.6755 sg="Imm2 (44)" magmom_total_mub_per_fu=0.00 pbc="T T T"
Mo 0.1686 0.0993 0.0000
Mo 2.8635 -0.5255 1.2505
Tc 3.8999 2.2964 0.0000
Br 1.5925 1.8908 1.2516



Record 7
4
Lattice="-1.1028 -2.5690 -0.7586 0.9202 0.1125 2.7444 -8.0610 2.6949 2.5924" Properties=species:S:1:pos:R:3 comment="TcMo2Br, optimized geometry, DFT GGA-PBE" e_tot_ev_per_cell=-31.2 e_above_lowest_polymorph_mev_per_atom=206 formation_energy_uncorrected_ev_per_atom=0.6142 sg="Cmm2 (35)" magmom_total_mub_per_fu=0.00 pbc="T T T"
Mo -0.1155 0.0386 0.0371
Mo -2.1189 -0.5504 1.6450
Tc -3.8534 1.2882 1.2392
Br -6.1863 0.8094 2.9531



Record 8
4
Lattice="3.0053 0.0000 0.0000 0.0000 5.7197 0.0000 0.0000 0.0000 4.4565" Properties=species:S:1:pos:R:3 comment="TcMoBr2, optimized geometry, DFT GGA-PBE" e_tot_ev_per_cell=-20.3 e_above_lowest_polymorph_mev_per_atom=1091 formation_energy_uncorrected_ev_per_atom=1.0526 sg="Pmmm (47)" magmom_total_mub_per_fu=3.28 pbc="T T T"
Mo 1.5027 0.0000 2.2283
Tc 0.0000 2.8598 2.2283
Br 0.0000 0.0000 0.0000
Br 1.5027 2.8598 0.0000